w | Compound: Be2IrBr
Source: Alexandria via LeMat-Bulk
Functional: GGA-PBEsol
Structure: optimized geometry

abc: 3.193 3.193 6.053
angles: 105.29 105.29 90.00
Atoms (fractional coordinates):
1 Be 0.000 0.000 0.000
2 Be 0.750 0.250 0.500
3 Ir 0.250 0.750 0.500
4 Br 0.500 0.500 0.000

Values from the calculation:
- V: 14.313 Å³/atom
- Total magnetization: 0.000 μB per atom
- Space-group type: I-4m2, No. 119
- DOS at the Fermi energy: 1.342 states/eV/cell

x | Compound: Be2IrBr
Source: Alexandria via LeMat-Bulk
Functional: GGA-PBEsol
Structure: optimized geometry

abc: 4.161 4.161 4.161
angles: 60.00 60.00 60.00
Atoms (fractional coordinates):
1 Be 0.750 0.750 0.750
2 Be 0.250 0.250 0.250
3 Ir 0.500 0.500 0.500
4 Br 0.000 0.000 0.000

Values from the calculation:
- V: 12.740 Å³/atom
- Total magnetization: 0.000 μB per atom
- Space-group type: Fm-3m, No. 225
- DOS at the Fermi energy: 1.159 states/eV/cell

y | Compound: Be2IrBr
Source: Alexandria via LeMat-Bulk
Functional: GGA-PBEsol
Structure: optimized geometry

abc: 3.085 3.085 6.391
angles: 90.00 90.00 90.00
Atoms (fractional coordinates):
1 Be 0.000 0.000 0.982
2 Be 0.500 0.500 0.221
3 Ir 0.500 0.500 0.893
4 Br 0.000 0.000 0.404

Values from the calculation:
- V: 15.208 Å³/atom
- Total magnetization: 0.000 μB per atom
- Space-group type: P4mm, No. 99
- DOS at the Fermi energy: 0.557 states/eV/cell

Stability check: which of them is most stable? y.

w | Compound: KBeBr2
Source: Alexandria via LeMat-Bulk
Functional: GGA-PBEsol
Structure: optimized geometry

abc: 6.465 6.465 7.921
angles: 114.09 114.09 90.00
Atoms (fractional coordinates):
1 Be 0.750 0.250 0.500
2 Be 0.500 0.500 0.000
3 K 0.250 0.750 0.500
4 K 0.000 0.000 0.000
5 Br 0.491 0.875 0.250
6 Br 0.759 0.375 0.250
7 Br 0.125 0.241 0.750
8 Br 0.625 0.509 0.750

Values from the calculation:
- V: 33.799 Å³/atom
- Total magnetization: 0.000 μB per atom
- Space-group type: I-42d, No. 122
- DOS at the Fermi energy: 1.219 states/eV/cell

x | Compound: KBeBr2
Source: Alexandria via LeMat-Bulk
Functional: GGA-PBEsol
Structure: optimized geometry

abc: 4.573 4.650 6.548
angles: 104.81 110.44 90.00
Atoms (fractional coordinates):
1 Be 0.210 0.337 0.420
2 K 0.496 0.608 0.992
3 Br 0.030 0.130 0.061
4 Br 0.764 0.424 0.528

Values from the calculation:
- V: 31.380 Å³/atom
- Total magnetization: 0.000 μB per atom
- Space-group type: Cm, No. 8
- DOS at the Fermi energy: 1.012 states/eV/cell

Stability check: which of them is most stable? x.

w | Compound: LaBe2Br
Source: Alexandria via LeMat-Bulk
Functional: GGA-PBEsol
Structure: optimized geometry

abc: 3.308 3.308 8.693
angles: 79.03 79.03 60.00
Atoms (fractional coordinates):
1 Be 0.236 0.236 0.293
2 Be 0.764 0.764 0.707
3 Br 0.500 0.500 0.500
4 La 0.000 0.000 0.000

Values from the calculation:
- V: 20.091 Å³/atom
- Total magnetization: 0.000 μB per atom
- Space-group type: R-3m, No. 166
- DOS at the Fermi energy: 2.637 states/eV/cell

x | Compound: LaBe2Br
Source: Alexandria via LeMat-Bulk
Functional: GGA-PBEsol
Structure: optimized geometry

abc: 4.839 4.839 4.839
angles: 60.00 60.00 60.00
Atoms (fractional coordinates):
1 Be 0.750 0.750 0.750
2 Be 0.250 0.250 0.250
3 Br 0.000 0.000 0.000
4 La 0.500 0.500 0.500

Values from the calculation:
- V: 20.031 Å³/atom
- Total magnetization: 0.000 μB per atom
- Space-group type: Fm-3m, No. 225
- DOS at the Fermi energy: 3.662 states/eV/cell

Stability check: which of them is most stable? w.

w | Compound: LiBeBr2
Source: Alexandria via LeMat-Bulk
Functional: GGA-PBEsol
Structure: optimized geometry

abc: 3.369 3.369 6.722
angles: 90.00 90.00 90.00
Atoms (fractional coordinates):
1 Be 0.500 0.500 0.500
2 Br 0.000 0.000 0.746
3 Br 0.000 0.000 0.254
4 Li 0.500 0.500 0.000

Values from the calculation:
- V: 19.073 Å³/atom
- Total magnetization: 0.000 μB per atom
- Space-group type: P4/mmm, No. 123
- DOS at the Fermi energy: 1.316 states/eV/cell

x | Compound: LiBeBr2
Source: Alexandria via LeMat-Bulk
Functional: GGA-PBEsol
Structure: optimized geometry

abc: 3.726 3.726 7.576
angles: 75.77 75.77 60.00
Each line ends with the local moment (μB).
Atoms (fractional coordinates):
1 Be 0.000 0.000 0.000  0.18
2 Br 0.902 0.902 0.293  0.05
3 Br 0.098 0.098 0.707  0.05
4 Li 0.500 0.500 0.500  0.01

Values from the calculation:
- V: 21.835 Å³/atom
- Total magnetization: 0.246 μB per atom
- Space-group type: R-3m, No. 166
- DOS at the Fermi energy: 0.445 states/eV/cell

Stability check: which of them is most stable? x.

w | Compound: LiBeBr
Source: Alexandria via LeMat-Bulk
Functional: GGA-PBEsol
Structure: optimized geometry

abc: 3.367 3.367 5.514
angles: 90.00 90.00 120.00
Atoms (fractional coordinates):
1 Be 0.000 0.000 0.975
2 Br 0.333 0.667 0.706
3 Li 0.667 0.333 0.319

Values from the calculation:
- V: 18.042 Å³/atom
- Total magnetization: 0.000 μB per atom
- Space-group type: P3m1, No. 156
- DOS at the Fermi energy: 0.235 states/eV/cell

x | Compound: LiBeBr
Source: Alexandria via LeMat-Bulk
Functional: GGA-PBEsol
Structure: optimized geometry

abc: 4.599 4.599 4.599
angles: 60.00 60.00 60.00
Atoms (fractional coordinates):
1 Be 0.500 0.500 0.500
2 Br 0.250 0.250 0.250
3 Li 0.000 0.000 0.000

Values from the calculation:
- V: 22.930 Å³/atom
- Total magnetization: 0.000 μB per atom
- Space-group type: F-43m, No. 216
- DOS at the Fermi energy: 0.945 states/eV/cell

Stability check: which of them is most stable? w.

w | Compound: MgBeBr2
Source: Alexandria via LeMat-Bulk
Functional: GGA-PBEsol
Structure: optimized geometry

abc: 3.388 3.388 9.482
angles: 79.71 79.71 60.00
Atoms (fractional coordinates):
1 Be 0.500 0.500 0.500
2 Mg 0.000 0.000 0.000
3 Br 0.883 0.883 0.351
4 Br 0.117 0.117 0.649

Values from the calculation:
- V: 23.055 Å³/atom
- Total magnetization: 0.000 μB per atom
- Space-group type: R-3m, No. 166
- DOS at the Fermi energy: 0.404 states/eV/cell

x | Compound: MgBeBr2
Source: Alexandria via LeMat-Bulk
Functional: GGA-PBEsol
Structure: optimized geometry

abc: 3.500 3.498 8.670
angles: 78.29 78.36 59.99
Atoms (fractional coordinates):
1 Be 0.745 0.745 0.764
2 Mg 0.496 0.495 0.513
3 Br 0.031 0.030 0.908
4 Br 0.228 0.229 0.315

Values from the calculation:
- V: 22.342 Å³/atom
- Total magnetization: 0.000 μB per atom
- Space-group type: Cm, No. 8

y | Compound: MgBeBr2
Source: Alexandria via LeMat-Bulk
Functional: GGA-PBEsol
Structure: optimized geometry

abc: 3.447 4.818 4.818
angles: 90.00 90.00 90.00
Atoms (fractional coordinates):
1 Be 0.500 0.000 0.000
2 Mg 0.500 0.500 0.500
3 Br 0.000 0.000 0.500
4 Br 0.000 0.500 0.000

Values from the calculation:
- V: 20.006 Å³/atom
- Total magnetization: 0.000 μB per atom
- Space-group type: P4/mmm, No. 123
- DOS at the Fermi energy: 1.435 states/eV/cell

Stability check: which of them is most stable? x.

w | Compound: Mg2BeBr
Source: Alexandria via LeMat-Bulk
Functional: GGA-PBEsol
Structure: optimized geometry

abc: 3.362 4.506 5.552
angles: 104.33 90.00 90.00
Atoms (fractional coordinates):
1 Be 0.500 0.500 0.000
2 Mg 0.000 0.000 0.000
3 Mg 0.500 0.500 0.500
4 Br 0.000 0.000 0.500

Values from the calculation:
- V: 20.377 Å³/atom
- Total magnetization: 0.000 μB per atom
- Space-group type: P2/m, No. 10
- DOS at the Fermi energy: 1.848 states/eV/cell

x | Compound: Mg2BeBr
Source: Alexandria via LeMat-Bulk
Functional: GGA-PBEsol
Structure: optimized geometry

abc: 3.245 3.363 7.977
angles: 102.17 101.73 90.00
Atoms (fractional coordinates):
1 Be 0.449 0.449 0.899
2 Mg 0.031 0.031 0.061
3 Mg 0.816 0.316 0.632
4 Br 0.204 0.704 0.408

Values from the calculation:
- V: 20.807 Å³/atom
- Total magnetization: 0.000 μB per atom
- Space-group type: Imm2, No. 44
- DOS at the Fermi energy: 1.171 states/eV/cell

Stability check: which of them is most stable? x.

w | Compound: MgBe2Br
Source: Alexandria via LeMat-Bulk
Functional: GGA-PBEsol
Structure: optimized geometry

abc: 3.163 3.079 7.683
angles: 90.00 90.00 90.00
Atoms (fractional coordinates):
1 Be 0.000 0.000 0.955
2 Be 0.500 0.500 0.891
3 Mg 0.500 0.500 0.226
4 Br 0.000 0.000 0.429

Values from the calculation:
- V: 18.707 Å³/atom
- Total magnetization: 0.000 μB per atom
- Space-group type: Pmm2, No. 25
- DOS at the Fermi energy: 1.161 states/eV/cell

x | Compound: MgBe2Br
Source: Alexandria via LeMat-Bulk
Functional: GGA-PBEsol
Structure: optimized geometry

abc: 5.253 5.696 5.696
angles: 77.72 62.54 62.54
Atoms (fractional coordinates):
1 Be 0.875 0.026 0.474
2 Be 0.375 0.974 0.526
3 Be 0.651 0.474 0.974
4 Be 0.099 0.526 0.026
5 Mg 0.500 0.000 0.000
6 Mg 0.250 0.500 0.500
7 Br 0.000 0.000 0.000
8 Br 0.750 0.500 0.500

Values from the calculation:
- V: 16.777 Å³/atom
- Total magnetization: 0.000 μB per atom
- Space-group type: I-42d, No. 122
- DOS at the Fermi energy: 2.365 states/eV/cell

y | Compound: MgBe2Br
Source: Alexandria via LeMat-Bulk
Functional: GGA-PBEsol
Structure: optimized geometry

abc: 3.308 4.130 5.520
angles: 111.81 107.25 90.47
Atoms (fractional coordinates):
1 Be 0.000 0.000 0.500
2 Be 0.500 0.500 0.500
3 Mg 0.500 0.500 0.000
4 Br 0.000 0.000 0.000

Values from the calculation:
- V: 16.566 Å³/atom
- Total magnetization: 0.000 μB per atom
- Space-group type: C2/m, No. 12
- DOS at the Fermi energy: 1.145 states/eV/cell

Stability check: which of them is most stable? w.

w | Compound: MnBeBr2
Source: Alexandria via LeMat-Bulk
Functional: GGA-PBEsol
Structure: optimized geometry

abc: 3.206 3.451 9.156
angles: 90.00 90.00 117.68
Each line ends with the local moment (μB).
Atoms (fractional coordinates):
1 Be 0.500 0.000 0.000  0.00
2 Mn 0.500 0.000 0.500  4.29
3 Br 0.000 0.000 0.827  0.02
4 Br 0.000 0.000 0.173  0.02

Values from the calculation:
- V: 22.431 Å³/atom
- Total magnetization: 1.168 μB per atom
- Space-group type: Cmmm, No. 65
- DOS at the Fermi energy: 0.940 states/eV/cell

x | Compound: MnBeBr2
Source: Alexandria via LeMat-Bulk
Functional: GGA-PBEsol
Structure: optimized geometry

abc: 3.217 3.347 7.575
angles: 90.00 90.00 90.00
Each line ends with the local moment (μB).
Atoms (fractional coordinates):
1 Be 0.500 0.500 0.719  -0.09
2 Mn 0.000 0.000 0.556  3.53
3 Br 0.000 0.500 0.911  0.03
4 Br 0.500 0.000 0.313  0.05

Values from the calculation:
- V: 20.389 Å³/atom
- Total magnetization: 0.900 μB per atom
- Space-group type: Pmm2, No. 25
- DOS at the Fermi energy: 2.351 states/eV/cell

Stability check: which of them is most stable? x.

w | Compound: Be2MoBr
Source: Alexandria via LeMat-Bulk
Functional: GGA-PBEsol
Structure: optimized geometry

abc: 2.850 4.496 4.496
angles: 111.91 90.00 90.00
Atoms (fractional coordinates):
1 Be 0.000 0.500 0.000
2 Be 0.000 0.000 0.500
3 Mo 0.500 0.500 0.500
4 Br 0.500 0.000 0.000

Values from the calculation:
- V: 13.359 Å³/atom
- Total magnetization: 0.000 μB per atom
- Space-group type: Cmmm, No. 65
- DOS at the Fermi energy: 2.563 states/eV/cell

x | Compound: Be2MoBr
Source: Alexandria via LeMat-Bulk
Functional: GGA-PBEsol
Structure: optimized geometry

abc: 2.932 4.519 4.771
angles: 94.25 90.00 108.93
Atoms (fractional coordinates):
1 Be 0.214 0.429 0.356
2 Be 0.786 0.571 0.644
3 Mo 0.500 0.000 0.500
4 Br 0.000 0.000 0.000

Values from the calculation:
- V: 14.902 Å³/atom
- Total magnetization: 0.000 μB per atom
- Space-group type: C2/m, No. 12
- DOS at the Fermi energy: 2.656 states/eV/cell

y | Compound: Be2MoBr
Source: Alexandria via LeMat-Bulk
Functional: GGA-PBEsol
Structure: optimized geometry

abc: 2.907 2.907 7.242
angles: 90.00 90.00 90.00
Atoms (fractional coordinates):
1 Be 0.000 0.000 0.008
2 Be 0.500 0.500 0.136
3 Mo 0.500 0.500 0.793
4 Br 0.000 0.000 0.563

Values from the calculation:
- V: 15.302 Å³/atom
- Total magnetization: 0.002 μB per atom
- Space-group type: P4mm, No. 99
- DOS at the Fermi energy: 3.326 states/eV/cell

Stability check: which of them is most stable? y.

w | Compound: BeOsBr
Source: Alexandria via LeMat-Bulk
Functional: GGA-PBEsol
Structure: optimized geometry

abc: 4.084 4.084 4.084
angles: 60.00 60.00 60.00
Atoms (fractional coordinates):
1 Be 0.500 0.500 0.500
2 Os 0.000 0.000 0.000
3 Br 0.750 0.750 0.750

Values from the calculation:
- V: 16.061 Å³/atom
- Total magnetization: 0.002 μB per atom
- Space-group type: F-43m, No. 216
- DOS at the Fermi energy: 4.110 states/eV/cell

x | Compound: BeOsBr
Source: Alexandria via LeMat-Bulk
Functional: GGA-PBEsol
Structure: optimized geometry

abc: 2.773 2.773 7.158
angles: 95.99 95.99 117.49
Atoms (fractional coordinates):
1 Be 0.994 0.994 0.989
2 Os 0.371 0.371 0.742
3 Br 0.634 0.634 0.269

Values from the calculation:
- V: 15.945 Å³/atom
- Total magnetization: 0.000 μB per atom
- Space-group type: Fmm2, No. 42
- DOS at the Fermi energy: 2.022 states/eV/cell

Stability check: which of them is most stable? x.

w | Compound: BePBr2
Source: Alexandria via LeMat-Bulk
Functional: GGA-PBEsol
Structure: optimized geometry

abc: 3.075 3.075 8.356
angles: 90.00 90.00 90.00
Each line ends with the local moment (μB).
Atoms (fractional coordinates):
1 P 0.500 0.500 0.000  0.23
2 Br 0.000 0.000 0.682  0.02
3 Br 0.000 0.000 0.318  0.02
4 Be 0.500 0.500 0.500  0.00

Values from the calculation:
- V: 19.748 Å³/atom
- Total magnetization: 0.148 μB per atom
- Space-group type: P4/mmm, No. 123
- DOS at the Fermi energy: 2.213 states/eV/cell

x | Compound: BePBr2
Source: Alexandria via LeMat-Bulk
Functional: GGA-PBEsol
Structure: optimized geometry

abc: 3.254 3.759 7.959
angles: 92.98 90.00 115.64
Atoms (fractional coordinates):
1 P 0.654 0.307 0.583
2 Br 0.888 0.775 0.903
3 Br 0.586 0.173 0.310
4 Be 0.372 0.745 0.703

Values from the calculation:
- V: 21.902 Å³/atom
- Total magnetization: 0.000 μB per atom
- Space-group type: Cm, No. 8
- DOS at the Fermi energy: 1.116 states/eV/cell

Stability check: which of them is most stable? x.

w | Compound: BePBr
Source: Alexandria via LeMat-Bulk
Functional: GGA-PBEsol
Structure: optimized geometry

abc: 4.309 4.309 4.309
angles: 60.00 60.00 60.00
Atoms (fractional coordinates):
1 P 0.250 0.250 0.250
2 Br 0.500 0.500 0.500
3 Be 0.000 0.000 0.000

Values from the calculation:
- V: 18.859 Å³/atom
- Total magnetization: 0.000 μB per atom
- Space-group type: F-43m, No. 216
- DOS at the Fermi energy: 1.925 states/eV/cell

x | Compound: BePBr
Source: Alexandria via LeMat-Bulk
Functional: GGA-PBEsol
Structure: optimized geometry

abc: 2.575 3.413 7.313
angles: 103.49 100.14 90.00
Atoms (fractional coordinates):
1 P 0.569 0.569 0.137
2 Br 0.294 0.294 0.588
3 Be 0.137 0.137 0.275

Values from the calculation:
- V: 20.489 Å³/atom
- Total magnetization: 0.000 μB per atom
- Space-group type: Imm2, No. 44
- DOS at the Fermi energy: 0.999 states/eV/cell

Stability check: which of them is most stable? x.